Record 1
! Mg2PtAu | Alexandria | meta-GGA SCAN | single point on PBEsol structure; values from VASP
&SYSTEM
  ibrav = 0, nat = 4, ntyp = 3
/
ATOMIC_SPECIES
Mg 24.30 Mg.upf
Pt 195.08 Pt.upf
Au 196.97 Au.upf
CELL_PARAMETERS angstrom
-2.155 -1.730 3.612
1.324 -3.986 1.745
2.083 -0.134 4.041
ATOMIC_POSITIONS angstrom
Mg 0.939 -4.387 7.048
Mg 0.000 0.000 0.000
Pt 0.313 -1.462 2.349
Au 0.626 -2.925 4.699
! E_form (eV per atom): -0.63
! E_tot (eV per atom): -37.959

---

Record 2
! Mg2PtAu | Alexandria | meta-GGA SCAN | single point on PBEsol structure; values from VASP
&SYSTEM
  ibrav = 0, nat = 4, ntyp = 3
/
ATOMIC_SPECIES
Mg 24.30 Mg.upf
Au 196.97 Au.upf
Pt 195.08 Pt.upf
CELL_PARAMETERS angstrom
-2.629 -2.879 -0.179
1.136 -0.810 -3.645
3.663 -0.914 3.434
ATOMIC_POSITIONS angstrom
Mg 2.026 -1.784 -1.062
Mg 0.000 0.000 0.000
Au 0.144 -2.818 0.671
Pt -0.746 -1.844 -1.912
! E_form (eV per atom): -0.79
! E_tot (eV per atom): -38.114

---

Record 3
! MgPtAu2 | Alexandria | meta-GGA SCAN | single point on PBEsol structure; values from VASP
&SYSTEM
  ibrav = 0, nat = 4, ntyp = 3
/
ATOMIC_SPECIES
Mg 24.30 Mg.upf
Au 196.97 Au.upf
Pt 195.08 Pt.upf
CELL_PARAMETERS angstrom
-2.403 1.651 0.203
-1.264 -1.418 -3.436
-2.664 -4.214 2.718
ATOMIC_POSITIONS angstrom
Mg -2.562 -1.327 1.490
Au -1.302 -1.768 -1.035
Au -3.859 -3.377 2.812
Pt -2.605 -3.830 0.295
! E_form (eV per atom): -0.49
! E_tot (eV per atom): -53.856

---

Record 4
! MgPtAu2 | Alexandria | meta-GGA SCAN | single point on PBEsol structure; values from VASP
&SYSTEM
  ibrav = 0, nat = 4, ntyp = 3
/
ATOMIC_SPECIES
Au 196.97 Au.upf
Pt 195.08 Pt.upf
Mg 24.30 Mg.upf
CELL_PARAMETERS angstrom
-2.848 0.675 -0.195
0.019 -1.259 -4.630
0.307 -4.448 2.182
ATOMIC_POSITIONS angstrom
Au -0.555 -2.375 -0.115
Au -1.967 -2.657 -2.528
Pt 0.010 -0.629 -2.315
Mg -1.424 0.338 -0.098
! E_form (eV per atom): -0.43
! E_tot (eV per atom): -53.796

---

Number 1: N(E_F) 0.98 states/eV/cell. Number 2: N(E_F) 1.32 states/eV/cell. Number 3: N(E_F) 0.91 states/eV/cell. Number 4: N(E_F) 1.23 states/eV/cell.